First-principles (PBE) data for crystalline TaCdBr2 at its relaxed geometry, as listed in the Alexandria database.

a = 5.7784 Å, b = 5.7784 Å, c = 7.6846 Å
α = 67.92°, β = 67.92°, γ = 32.32°
Atoms (fractional coordinates):
Cd 0.5633 0.5633 0.3750
Br 0.8986 0.8986 0.0822
Br 0.7400 0.7400 0.6678
Ta 0.2982 0.2982 0.3750

**Energy relative to the elements, uncorrected**: -115.8 meV/atom
**Theoretical density**: 5.96 Mg/m³
**Polymorph energy (0 for the lowest one)**: 0.37 eV/f.u.


First-principles (PBE) data for crystalline TaCdBr2 at its relaxed geometry, as listed in the Alexandria database.

a = 5.1458 Å, b = 5.1458 Å, c = 5.1458 Å
α = 60.00°, β = 60.00°, γ = 60.00°
Atoms (fractional coordinates):
Cd 0.5000 0.5000 0.5000
Br 0.0000 0.0000 0.0000
Br 0.2500 0.2500 0.2500
Ta 0.7500 0.7500 0.7500

**Energy relative to the elements, uncorrected**: 911.3 meV/atom
**Theoretical density**: 7.81 Mg/m³
**Polymorph energy (0 for the lowest one)**: 4.48 eV/f.u.


First-principles (PBE) data for crystalline TaCdBr2 at its relaxed geometry, as listed in the Alexandria database.

a = 10.8227 Å, b = 10.8227 Å, c = 10.8227 Å
α = 17.42°, β = 17.42°, γ = 17.42°
Atoms (fractional coordinates):
Cd 0.2500 0.2500 0.2500
Br 0.0235 0.0235 0.0235
Br 0.4765 0.4765 0.4765
Ta 0.7500 0.7500 0.7500

**Energy relative to the elements, uncorrected**: -209.5 meV/atom
**Theoretical density**: 7.59 Mg/m³
**Polymorph energy (0 for the lowest one)**: 0.00 eV/f.u.


First-principles (PBE) data for crystalline TaCd3Br at its relaxed geometry, as listed in the Alexandria database.

a = 5.3627 Å, b = 5.3627 Å, c = 5.3627 Å
α = 90.00°, β = 90.00°, γ = 90.00°
Atoms (fractional coordinates):
Cd 0.0000 0.5000 0.0000
Cd 0.0000 0.0000 0.5000
Cd 0.5000 0.0000 0.0000
Br 0.0000 0.0000 0.0000
Ta 0.5000 0.5000 0.5000

**Energy relative to the elements, uncorrected**: 1438.9 meV/atom
**Theoretical density**: 6.44 Mg/m³
**Polymorph energy (0 for the lowest one)**: 2.59 eV/f.u.


First-principles (PBE) data for crystalline TaCdBr2 at its relaxed geometry, as listed in the Alexandria database.

a = 3.4389 Å, b = 3.4389 Å, c = 11.1581 Å
α = 90.00°, β = 90.00°, γ = 125.85°
Atoms (fractional coordinates):
Cd 0.5000 0.5000 0.2500
Br 0.0000 0.0000 0.9401
Br 0.0000 0.0000 0.5599
Ta 0.5000 0.5000 0.7500

**Energy relative to the elements, uncorrected**: -20.4 meV/atom
**Theoretical density**: 7.04 Mg/m³
**Polymorph energy (0 for the lowest one)**: 0.76 eV/f.u.


First-principles (PBE) data for crystalline Ta2CdBr at its relaxed geometry, as listed in the Alexandria database.

a = 4.9677 Å, b = 4.0677 Å, c = 4.0677 Å
α = 90.00°, β = 90.00°, γ = 90.00°
Atoms (fractional coordinates):
Cd 0.5000 0.0000 0.5000
Br 0.5000 0.5000 0.0000
Ta 0.0000 0.0000 0.0000
Ta 0.0000 0.5000 0.5000

**Energy relative to the elements, uncorrected**: 914.4 meV/atom
**Theoretical density**: 11.20 Mg/m³
**Polymorph energy (0 for the lowest one)**: 3.07 eV/f.u.


First-principles (PBE) data for crystalline TaCdBr at its relaxed geometry, as listed in the Alexandria database.

a = 3.1950 Å, b = 3.1950 Å, c = 8.1511 Å
α = 90.00°, β = 90.00°, γ = 120.00°
Atoms (fractional coordinates):
Cd 0.3333 0.6667 0.3946
Br 0.0000 0.0000 0.9171
Ta 0.6667 0.3333 0.6882

**Energy relative to the elements, uncorrected**: 29.7 meV/atom
**Theoretical density**: 8.60 Mg/m³
**Polymorph energy (0 for the lowest one)**: 0.00 eV/f.u.


First-principles (PBE) data for crystalline TaCdBr2 at its relaxed geometry, as listed in the Alexandria database.

a = 7.8209 Å, b = 7.8209 Å, c = 5.2858 Å
α = 70.26°, β = 70.26°, γ = 23.20°
Atoms (fractional coordinates):
Cd 0.7500 0.7500 0.7500
Br 0.8986 0.8986 0.1014
Br 0.6014 0.6014 0.3986
Ta 0.2500 0.2500 0.2500

**Energy relative to the elements, uncorrected**: -145.7 meV/atom
**Theoretical density**: 6.29 Mg/m³
**Polymorph energy (0 for the lowest one)**: 0.26 eV/f.u.


theoretical density of number 8 (TaCdBr2)? 6.29 Mg/m³


Please write out number 3 again, unchanged.
First-principles (PBE) data for crystalline TaCdBr2 at its relaxed geometry, as listed in the Alexandria database.

a = 10.8227 Å, b = 10.8227 Å, c = 10.8227 Å
α = 17.42°, β = 17.42°, γ = 17.42°
Atoms (fractional coordinates):
Cd 0.2500 0.2500 0.2500
Br 0.0235 0.0235 0.0235
Br 0.4765 0.4765 0.4765
Ta 0.7500 0.7500 0.7500

**Energy relative to the elements, uncorrected**: -209.5 meV/atom
**Theoretical density**: 7.59 Mg/m³
**Polymorph energy (0 for the lowest one)**: 0.00 eV/f.u.


Which value of energy relative to the elements, uncorrected does entry 7 give? 29.7 meV/atom